No. 1
## InCoMo (PBE)

Data for an optimized crystal structure of InCoMo.

Values from the calculation:
The density of states at the Fermi level is 2.289 states/eV/f.u. Its formation enthalpy at 0 K is 164 meV per atom.

abc: 2.902 2.902 11.114
angles: 90.00 90.00 90.00
Space group I4mm (No. 107)
Asymmetric unit:
In: 0.000 0.000 0.000 [2 per cell]
Co: 0.000 0.000 0.332 [2 per cell]
Mo: 0.000 0.000 0.698 [2 per cell]

---

No. 2
## InCoMo4 (PBE)

Data for an optimized crystal structure of InCoMo4.

Values from the calculation:
The density of states at the Fermi level is 7.884 states/eV/f.u. Its formation enthalpy at 0 K is 536 meV per atom.

abc: 7.400 7.400 7.400
angles: 90.00 90.00 90.00
Space group F-43m (No. 216)
Asymmetric unit:
In: 0.000 0.000 0.000 [4 per cell]
Co: 0.250 0.250 0.250 [4 per cell]
Mo: 0.125 0.125 0.625 [16 per cell]

---

No. 3
## In3CoMo (PBE)

Data for an optimized crystal structure of In3CoMo.

Values from the calculation:
The density of states at the Fermi level is 6.215 states/eV/f.u. Its formation enthalpy at 0 K is 1218 meV per atom. Its excess energy over the best structure of this formula in the dataset is 435 meV/atom.

abc: 5.256 5.256 5.256
angles: 90.00 90.00 90.00
Space group Pm-3m (No. 221)
Asymmetric unit:
In: 0.000 0.000 0.500 [3 per cell]
Co: 0.500 0.500 0.500 [1 per cell]
Mo: 0.000 0.000 0.000 [1 per cell]

---

No. 4
## InCo2Mo2 (PBE)

Data for an optimized crystal structure of InCo2Mo2.

Values from the calculation:
The density of states at the Fermi level is 4.611 states/eV/f.u. Its formation enthalpy at 0 K is 196 meV per atom. Its excess energy over the best structure of this formula in the dataset is 0 meV/atom.

abc: 7.238 7.238 2.798
angles: 90.00 90.00 90.00
Space group P4/mbm (No. 127)
Asymmetric unit:
In: 0.000 0.000 0.000 [2 per cell]
Co: 0.122 0.378 0.000 [4 per cell]
Mo: 0.168 0.668 0.500 [4 per cell]

---

No. 5
## InCoMo (PBE)

Data for an optimized crystal structure of InCoMo.

Values from the calculation:
The density of states at the Fermi level is 2.446 states/eV/f.u. Its formation enthalpy at 0 K is 390 meV per atom.

abc: 4.3529 4.3529 2.8854
angles: 90.00 90.00 120.00
Space group P3m1 (No. 156)
Asymmetric unit:
In: 0.0000 0.0000 0.0000 [1 per cell]
Co: 0.3333 0.6667 0.6844 [1 per cell]
Mo: 0.6667 0.3333 0.4694 [1 per cell]

---

No. 6
## InCo2Mo2 (PBE)

Data for an optimized crystal structure of InCo2Mo2.

Values from the calculation:
The density of states at the Fermi level is 4.577 states/eV/f.u. Its formation enthalpy at 0 K is 315 meV per atom. Its excess energy over the best structure of this formula in the dataset is 119 meV/atom.

abc: 7.475 7.475 2.712
angles: 90.00 90.00 90.00
Space group P4/mbm (No. 127)
Asymmetric unit:
In: 0.000 0.000 0.000 [2 per cell]
Co: 0.167 0.333 0.500 [4 per cell]
Mo: 0.122 0.622 0.000 [4 per cell]

---

No. 7
## InCo4Mo (PBE)

Data for an optimized crystal structure of InCo4Mo.

Values from the calculation:
The density of states at the Fermi level is 8.787 states/eV/f.u. Its formation enthalpy at 0 K is 135 meV per atom.

abc: 6.728 6.728 6.728
angles: 90.00 90.00 90.00
Space group F-43m (No. 216)
Asymmetric unit:
In: 0.000 0.000 0.000 [4 per cell]
Co: 0.125 0.125 0.375 [16 per cell]
Mo: 0.250 0.250 0.750 [4 per cell]

---

No. 8
## InCoMo2Os (PBE)

Data for an optimized crystal structure of InCoMo2Os.

Values from the calculation:
The density of states at the Fermi level is 8.162 states/eV/f.u. Its formation enthalpy at 0 K is 1355 meV per atom.

abc: 4.403 4.403 4.580
angles: 90.00 90.00 90.00
Space group P4/mmm (No. 123)
Asymmetric unit:
In: 0.000 0.000 0.000 [1 per cell]
Co: 0.000 0.000 0.500 [1 per cell]
Mo: 0.000 0.500 0.500 [2 per cell]
Os: 0.500 0.500 0.000 [1 per cell]

---

No. 9
## ScInCo2Mo (PBE)

Data for an optimized crystal structure of ScInCo2Mo.

Values from the calculation:
The density of states at the Fermi level is 5.668 states/eV/f.u. Its formation enthalpy at 0 K is 922 meV per atom.

abc: 4.498 4.498 4.956
angles: 90.00 90.00 90.00
Space group P4/mmm (No. 123)
Asymmetric unit:
Sc: 0.000 0.000 0.000 [1 per cell]
In: 0.500 0.500 0.000 [1 per cell]
Co: 0.000 0.500 0.500 [2 per cell]
Mo: 0.000 0.000 0.500 [1 per cell]

---

No. 10
## InCo2SnMo (PBE)

Data for an optimized crystal structure of InCo2SnMo.

Values from the calculation:
The density of states at the Fermi level is 7.408 states/eV/f.u. Its formation enthalpy at 0 K is 1823 meV per atom.

abc: 4.666 4.666 5.333
angles: 90.00 90.00 90.00
Space group P4/mmm (No. 123)
Asymmetric unit:
In: 0.000 0.000 0.000 [1 per cell]
Co: 0.000 0.500 0.000 [2 per cell]
Sn: 0.000 0.000 0.500 [1 per cell]
Mo: 0.500 0.500 0.500 [1 per cell]

---

No. 11
## TlIn2CoMo (PBE)

Data for an optimized crystal structure of TlIn2CoMo.

Values from the calculation:
The density of states at the Fermi level is 3.660 states/eV/f.u. Its formation enthalpy at 0 K is 878 meV per atom.

abc: 4.906 4.906 4.976
angles: 90.00 90.00 90.00
Space group P4/mmm (No. 123)
Asymmetric unit:
Tl: 0.000 0.000 0.000 [1 per cell]
In: 0.000 0.500 0.500 [2 per cell]
Co: 0.000 0.000 0.500 [1 per cell]
Mo: 0.500 0.500 0.000 [1 per cell]

---

No. 12
## InCo3N (PBE)

Data for an optimized crystal structure of InCo3N.

Values from the calculation:
The density of states at the Fermi level is 16.316 states/eV/f.u. Its excess energy over the best structure of this formula in the dataset is 2687 meV/atom. The raw formation energy is 2.65 eV/atom.

abc: 4.739 4.739 4.739
angles: 90.00 90.00 90.00
Space group Pm-3m (No. 221)
Asymmetric unit:
In: 0.000 0.000 0.000 [1 per cell]
Co: 0.000 0.000 0.500 [3 per cell]
N: 0.500 0.500 0.500 [1 per cell]

---

No. 13
## InCo2N (PBE)

Data for an optimized crystal structure of InCo2N.

Values from the calculation:
The density of states at the Fermi level is 1.650 states/eV/f.u. Its excess energy over the best structure of this formula in the dataset is 8 meV/atom. The raw formation energy is 0.20 eV/atom.

abc: 5.208 5.208 8.599
angles: 90.00 90.00 90.00
Space group I-42d (No. 122)
Asymmetric unit:
In: 0.000 0.000 0.000 [4 per cell]
Co: 0.107 0.250 0.625 [8 per cell]
N: 0.000 0.000 0.500 [4 per cell]

---

No. 14
## InCo3N (PBE)

Data for an optimized crystal structure of InCo3N.

Values from the calculation:
The density of states at the Fermi level is 3.091 states/eV/f.u. Its excess energy over the best structure of this formula in the dataset is 0 meV/atom. The raw formation energy is -0.04 eV/atom.

abc: 3.850 3.850 3.850
angles: 90.00 90.00 90.00
Space group Pm-3m (No. 221)
Asymmetric unit:
In: 0.000 0.000 0.000 [1 per cell]
Co: 0.000 0.500 0.500 [3 per cell]
N: 0.500 0.500 0.500 [1 per cell]

---

No. 15
## InCo2N2 (PBE)

Data for an optimized crystal structure of InCo2N2.

Values from the calculation:
The density of states at the Fermi level is 3.046 states/eV/f.u. Its excess energy over the best structure of this formula in the dataset is 40 meV/atom. The raw formation energy is 0.31 eV/atom.

abc: 3.385 3.385 11.870
angles: 90.00 90.00 90.00
Space group I4/mmm (No. 139)
Asymmetric unit:
In: 0.000 0.000 0.000 [2 per cell]
Co: 0.000 0.500 0.250 [4 per cell]
N: 0.000 0.000 0.325 [4 per cell]

---

No. 16
## InCo2N2 (PBE)

Data for an optimized crystal structure of InCo2N2.

Values from the calculation:
The density of states at the Fermi level is 4.363 states/eV/f.u. Its excess energy over the best structure of this formula in the dataset is 614 meV/atom. The raw formation energy is 0.88 eV/atom.

abc: 6.856 6.856 2.938
angles: 90.00 90.00 90.00
Space group P4/mbm (No. 127)
Asymmetric unit:
In: 0.000 0.000 0.000 [2 per cell]
Co: 0.123 0.377 0.000 [4 per cell]
N: 0.071 0.571 0.500 [4 per cell]

---

No. 17
## InCo2N2 (PBE)

Data for an optimized crystal structure of InCo2N2.

Values from the calculation:
The density of states at the Fermi level is 3.990 states/eV/f.u. Its excess energy over the best structure of this formula in the dataset is 0 meV/atom. The raw formation energy is 0.27 eV/atom.

abc: 3.1525 3.1525 22.4953
angles: 90.00 90.00 120.00
Space group R-3m (No. 166, hexagonal axes)
Asymmetric unit:
In: 0.0000 0.0000 0.0000 [3 per cell]
Co: 0.0000 0.0000 0.1300 [6 per cell]
N: 0.0000 0.0000 0.2193 [6 per cell]

---

No. 18
## InCo2N (PBE)

Data for an optimized crystal structure of InCo2N.

Values from the calculation:
The density of states at the Fermi level is 6.207 states/eV/f.u. Its excess energy over the best structure of this formula in the dataset is 997 meV/atom. The raw formation energy is 1.19 eV/atom.

abc: 5.895 5.895 5.895
angles: 90.00 90.00 90.00
Space group Fm-3m (No. 225)
Asymmetric unit:
In: 0.000 0.000 0.000 [4 per cell]
Co: 0.250 0.250 0.250 [8 per cell]
N: 0.000 0.000 0.500 [4 per cell]

---

No. 19
## InCo2N2 (PBE)

Data for an optimized crystal structure of InCo2N2.

Values from the calculation:
The density of states at the Fermi level is 4.181 states/eV/f.u. Its excess energy over the best structure of this formula in the dataset is 650 meV/atom. The raw formation energy is 0.92 eV/atom.

abc: 6.541 6.541 2.678
angles: 90.00 90.00 90.00
Space group P4/mbm (No. 127)
Asymmetric unit:
In: 0.000 0.000 0.000 [2 per cell]
Co: 0.122 0.378 0.500 [4 per cell]
N: 0.114 0.614 0.000 [4 per cell]

---

No. 20
## In2Co4N (PBE)

Data for an optimized crystal structure of In2Co4N.

Values from the calculation:
The density of states at the Fermi level is 8.161 states/eV/f.u. The raw formation energy is 0.11 eV/atom.

abc: 3.775 3.775 13.412
angles: 90.00 90.00 90.00
Space group I4/mmm (No. 139)
Asymmetric unit:
In: 0.000 0.000 0.161 [4 per cell]
Co: 0.000 0.000 0.363 [4 per cell]
Co: 0.000 0.500 0.000 [4 per cell]
N: 0.000 0.000 0.500 [2 per cell]

---

No. 21
## In2Co3N4 (PBE)

Data for an optimized crystal structure of In2Co3N4.

Values from the calculation:
The density of states at the Fermi level is 6.104 states/eV/f.u. The raw formation energy is 0.37 eV/atom.

abc: 8.492 6.612 8.101
angles: 90.00 90.84 90.00
Space group C2/c (No. 15)
Asymmetric unit:
In: 0.155 0.197 0.330 [8 per cell]
Co: 0.000 0.264 0.750 [4 per cell]
Co: 0.128 0.344 0.015 [8 per cell]
N: 0.088 0.373 0.561 [8 per cell]
N: 0.177 0.138 0.858 [8 per cell]

---

No. 22
## InCo2N (PBE)

Data for an optimized crystal structure of InCo2N.

Values from the calculation:
The density of states at the Fermi level is 2.176 states/eV/f.u. Its excess energy over the best structure of this formula in the dataset is 0 meV/atom. The raw formation energy is 0.19 eV/atom.

abc: 2.9826 2.9826 18.9194
angles: 90.00 90.00 120.00
Space group R-3m (No. 166, hexagonal axes)
Asymmetric unit:
In: 0.0000 0.0000 0.0000 [3 per cell]
Co: 0.0000 0.0000 0.2155 [6 per cell]
N: 0.0000 0.0000 0.5000 [3 per cell]

---

No. 23
## Na2InCoN (PBE)

Data for an optimized crystal structure of Na2InCoN.

Values from the calculation:
The density of states at the Fermi level is 2.199 states/eV/f.u. The raw formation energy is 0.05 eV/atom.

abc: 5.075 5.075 3.505
angles: 90.00 90.00 90.00
Space group P4/mmm (No. 123)
Asymmetric unit:
Na: 0.000 0.500 0.000 [2 per cell]
In: 0.000 0.000 0.500 [1 per cell]
Co: 0.500 0.500 0.500 [1 per cell]
N: 0.500 0.500 0.000 [1 per cell]

---

No. 24
## InCoNi2N (PBE)

Data for an optimized crystal structure of InCoNi2N.

Values from the calculation:
The density of states at the Fermi level is 3.416 states/eV/f.u. The raw formation energy is -0.05 eV/atom.

abc: 3.902 3.902 3.793
angles: 90.00 90.00 90.00
Space group P4/mmm (No. 123)
Asymmetric unit:
In: 0.000 0.000 0.000 [1 per cell]
Co: 0.500 0.500 0.000 [1 per cell]
Ni: 0.000 0.500 0.500 [2 per cell]
N: 0.500 0.500 0.500 [1 per cell]

---

No. 25
## InCo2NiN (PBE)

Data for an optimized crystal structure of InCo2NiN.

Values from the calculation:
The density of states at the Fermi level is 3.666 states/eV/f.u. The raw formation energy is -0.04 eV/atom.

abc: 3.820 3.820 3.926
angles: 90.00 90.00 90.00
Space group P4/mmm (No. 123)
Asymmetric unit:
In: 0.000 0.000 0.000 [1 per cell]
Co: 0.000 0.500 0.500 [2 per cell]
Ni: 0.500 0.500 0.000 [1 per cell]
N: 0.500 0.500 0.500 [1 per cell]

---

No. 26
## Pa2InCoN5 (PBE)

Data for an optimized crystal structure of Pa2InCoN5.

Values from the calculation:
The density of states at the Fermi level is 2.578 states/eV/f.u. The raw formation energy is -0.67 eV/atom.

abc: 3.374 13.336 9.884
angles: 90.00 90.00 90.00
Space group Cmc2_1 (No. 36)
Asymmetric unit:
Pa: 0.000 0.098 0.000 [4 per cell]
Pa: 0.000 0.142 0.612 [4 per cell]
In: 0.000 0.203 0.314 [4 per cell]
Co: 0.000 0.482 0.771 [4 per cell]
N: 0.000 0.046 0.382 [4 per cell]
N: 0.000 0.279 0.998 [4 per cell]
N: 0.000 0.338 0.674 [4 per cell]
N: 0.000 0.371 0.322 [4 per cell]
N: 0.000 0.479 0.090 [4 per cell]